Entry 1:
This record from the Alexandria database describes an optimized crystal structure of CeHoTm3. The functional is PBE.

Cell lengths 8.477, 8.477, 9.825 Å; angles 96.48, 96.48, 117.81 degrees
Fractional coordinates of all 20 atoms:
Ce  0.190  0.282  0.044
Ce  0.282  0.190  0.544
Ce  0.718  0.810  0.456
Ce  0.810  0.718  0.956
Ho  0.011  0.989  0.250
Ho  0.399  0.601  0.750
Ho  0.601  0.399  0.250
Ho  0.989  0.011  0.750
Tm  0.027  0.581  0.177
Tm  0.116  0.740  0.551
Tm  0.260  0.884  0.949
Tm  0.302  0.503  0.381
Tm  0.419  0.973  0.323
Tm  0.497  0.698  0.119
Tm  0.503  0.302  0.881
Tm  0.581  0.027  0.677
Tm  0.698  0.497  0.619
Tm  0.740  0.116  0.051
Tm  0.884  0.260  0.449
Tm  0.973  0.419  0.823

Output
Its formation enthalpy at 0 K is 0.8 eV/f.u. The value obtained for the density of states at the Fermi level is 1.865 states/eV per atom. The energy above the most stable polymorph in this dataset comes out at 0.000 eV per atom.

Entry 2:
This record from the Alexandria database describes an optimized crystal structure of InTe2NF. The functional is PBE.

Cell lengths 5.666, 5.666, 3.954 Å; angles 90.00, 90.00, 90.00 degrees
Fractional coordinates of all 5 atoms:
In  0.000  0.000  0.000
Te  0.000  0.500  0.000
Te  0.500  0.000  0.000
N  0.000  0.000  0.500
F  0.500  0.500  0.500

Output
The value obtained for the density of states at the Fermi level is 1.138 states/eV per atom. The energy above the most stable polymorph in this dataset comes out at 0.141 eV per atom.

Entry 3:
This record from the Alexandria database describes an optimized crystal structure of BaLi2Mn. The functional is PBE.

Cell lengths 5.706, 5.706, 5.706 Å; angles 129.57, 129.57, 74.10 degrees
Fractional coordinates of all 4 atoms:
Ba  0.000  0.000  0.000
Li  0.250  0.750  0.500
Li  0.750  0.250  0.500
Mn  0.500  0.500  0.000

Output
Its formation enthalpy at 0 K is 1.7 eV/f.u. The value obtained for the density of states at the Fermi level is 0.941 states/eV per atom. The energy above the most stable polymorph in this dataset comes out at 0.068 eV per atom.

Entry 4:
This record from the Alexandria database describes an optimized crystal structure of Ce4TcIrCl2. The functional is PBE.

Cell lengths 6.971, 4.022, 7.755 Å; angles 90.00, 107.55, 90.00 degrees
Fractional coordinates of all 8 atoms:
Ce  0.230  0.000  0.209
Ce  0.260  0.500  0.793
Ce  0.740  0.500  0.207
Ce  0.770  0.000  0.791
Tc  0.000  0.500  0.000
Ir  0.500  0.000  0.000
Cl  0.000  0.000  0.500
Cl  0.500  0.500  0.500

Output
The total energy comes out at -6.762 eV per atom. The value obtained for the density of states at the Fermi level is 2.254 states/eV per atom.

Entry 5:
This record from the Alexandria database describes an optimized crystal structure of Ca2Zn2Si. The functional is PBE.

Cell lengths 6.920, 6.920, 4.641 Å; angles 90.00, 90.00, 90.00 degrees
Fractional coordinates of all 10 atoms:
Ca  0.184  0.316  0.000
Ca  0.316  0.816  0.000
Ca  0.684  0.184  0.000
Ca  0.816  0.684  0.000
Zn  0.126  0.626  0.500
Zn  0.374  0.126  0.500
Zn  0.626  0.874  0.500
Zn  0.874  0.374  0.500
Si  0.000  0.000  0.500
Si  0.500  0.500  0.500

Output
The value obtained for the density of states at the Fermi level is 0.641 states/eV per atom. The energy above the most stable polymorph in this dataset comes out at 0.000 eV per atom.

Entry 6:
This record from the Alexandria database describes an optimized crystal structure of Ca2NbHgO. The functional is PBE.

Cell lengths 4.944, 4.944, 4.220 Å; angles 90.00, 90.00, 90.00 degrees
Fractional coordinates of all 5 atoms:
Ca  0.000  0.500  0.000
Ca  0.500  0.000  0.000
Nb  0.000  0.000  0.500
Hg  0.500  0.500  0.500
O  0.000  0.000  0.000

Output
The total energy comes out at -4.771 eV per atom. The value obtained for the density of states at the Fermi level is 0.635 states/eV per atom.

Entry 7:
This record from the Alexandria database describes an optimized crystal structure of Tl11HgO5. The functional is PBE.

Cell lengths 8.856, 8.856, 7.059 Å; angles 108.23, 108.23, 104.33 degrees
Fractional coordinates of all 17 atoms:
Tl  0.000  0.000  0.000
Tl  0.152  0.703  0.193
Tl  0.188  0.425  0.485
Tl  0.297  0.848  0.807
Tl  0.366  0.366  0.074
Tl  0.425  0.188  0.485
Tl  0.575  0.812  0.515
Tl  0.634  0.634  0.926
Tl  0.703  0.152  0.193
Tl  0.812  0.575  0.515
Tl  0.848  0.297  0.807
Hg  0.000  0.000  0.500
O  0.101  0.402  0.123
O  0.402  0.101  0.123
O  0.500  0.500  0.500
O  0.598  0.899  0.877
O  0.899  0.598  0.877

Output
The total energy comes out at -3.460 eV per atom. The value obtained for the density of states at the Fermi level is 0.086 states/eV per atom.

Entry 8:
This record from the Alexandria database describes an optimized crystal structure of La2MnSb. The functional is PBE.

Cell lengths 6.778, 6.778, 6.778 Å; angles 103.61, 103.61, 121.97 degrees
Fractional coordinates of all 8 atoms:
La  0.098  0.125  0.473
La  0.375  0.902  0.027
La  0.652  0.625  0.527
La  0.875  0.348  0.973
Mn  0.000  0.000  0.000
Mn  0.750  0.250  0.500
Sb  0.250  0.750  0.500
Sb  0.500  0.500  0.000

Output
The total energy comes out at -5.867 eV per atom. The value obtained for the density of states at the Fermi level is 1.015 states/eV per atom.

Number 2 is which compound?
InTe2NF

Which formula does entry 7 have?
Tl11HgO5